[1]
# ZnGeSeN2

ZnGeSeN2 after structural relaxation (GGA-PBE, the Alexandria database).

a = 3.9470 Å, b = 3.9470 Å, c = 5.5783 Å
α = 90.00°, β = 90.00°, γ = 90.00°
Last column: nearest neighbours and their distance in Å.
Fractional coordinates of all 5 atoms:
Zn 0.0000 0.0000 0.0000  4 N 1.97
Ge 0.5000 0.5000 0.5000  4 Se 2.79
Se 0.0000 0.0000 0.5000  2 Zn 2.79, 4 Ge 2.79
N 0.0000 0.5000 0.0000  2 Zn 1.97
N 0.5000 0.0000 0.0000  2 Zn 1.97

## Properties
- D(E_F) (states/eV per cell) = 1.61
- V (Å³/atom) = 17.38
- M_tot (Bohr magnetons per cell) = 3.3
- energy above the lowest structure with this stoichiometry (meV/atom) = 405
- raw formation energy (eV per atom) = 1.374
- energy (eV per atom) = -3.831

---

[2]
# Hf2TaSe6

Hf2TaSe6 after structural relaxation (GGA-PBE, the Alexandria database).

a = 8.8880 Å, b = 8.8880 Å, c = 8.1352 Å
α = 110.55°, β = 110.55°, γ = 23.80°
Last column: nearest neighbours and their distance in Å.
Fractional coordinates of all 9 atoms:
Hf 0.1656 0.1656 0.3313  6 Se 2.67-2.69
Hf 0.8344 0.8344 0.6687  6 Se 2.67-2.69
Ta 0.5000 0.5000 0.0000  6 Se 2.62-2.63
Se 0.0008 0.0008 0.2323  2 Ta 2.63, 1 Hf 2.68
Se 0.3303 0.3303 0.4268  3 Hf 2.67-2.69
Se 0.3396 0.3396 0.9124  1 Ta 2.62, 2 Hf 2.68
Se 0.6604 0.6604 0.0876  1 Ta 2.62, 2 Hf 2.68
Se 0.6697 0.6697 0.5732  3 Hf 2.67-2.69
Se 0.9992 0.9992 0.7677  2 Ta 2.63, 1 Hf 2.68

## Properties
- D(E_F) (states/eV per cell) = 2.81
- V (Å³/atom) = 26.90
- M_tot (Bohr magnetons per cell) = 0.0
- raw formation energy (eV per atom) = -1.142
- energy (eV per atom) = -6.994

---

[3]
# Co4NiW

Co4NiW after structural relaxation (GGA-PBE, the Alexandria database).

a = 4.2216 Å, b = 4.2216 Å, c = 4.8737 Å
α = 105.70°, β = 105.70°, γ = 110.08°
Last column: nearest neighbours and their distance in Å.
Fractional coordinates of all 6 atoms:
Co 0.0628 0.4340 0.2572  2 Ni 2.42-2.50, 7 Co 2.47-2.67, 2 W 2.48-2.52
Co 0.4340 0.0628 0.2572  2 Ni 2.42-2.50, 7 Co 2.47-2.67, 2 W 2.48-2.52
Co 0.5660 0.9372 0.7428  2 Ni 2.42-2.50, 7 Co 2.47-2.67, 2 W 2.48-2.52
Co 0.9372 0.5660 0.7428  2 Ni 2.42-2.50, 7 Co 2.47-2.67, 2 W 2.48-2.52
Ni 0.0000 0.0000 0.5000  8 Co 2.42-2.50, 2 W 2.49
W 0.5000 0.5000 0.0000  8 Co 2.48-2.52, 2 Ni 2.49

## Properties
- D(E_F) (states/eV per cell) = 7.36
- V (Å³/atom) = 11.99
- M_tot (Bohr magnetons per cell) = 4.1
- energy relative to the elements (meV per atom) = 239.6
- energy above the lowest structure with this stoichiometry (meV/atom) = 155
- energy (eV per atom) = -7.620

---

[4]
# LaMnOs2

LaMnOs2 after structural relaxation (GGA-PBE, the Alexandria database).

a = 9.7221 Å, b = 9.7221 Å, c = 9.7221 Å
α = 16.89°, β = 16.89°, γ = 16.89°
Last column: nearest neighbours and their distance in Å.
Fractional coordinates of all 4 atoms:
La 0.0000 0.0000 0.0000  6 La 2.86
Mn 0.5000 0.5000 0.5000  6 Os 2.57, 6 Mn 2.86
Os 0.2352 0.2352 0.2352  3 Mn 2.57, 6 Os 2.86
Os 0.7648 0.7648 0.7648  3 Mn 2.57, 6 Os 2.86

## Properties
- D(E_F) (states/eV per cell) = 5.78
- V (Å³/atom) = 16.92
- M_tot (Bohr magnetons per cell) = 2.1
- energy relative to the elements (meV per atom) = 589.2
- energy above the lowest structure with this stoichiometry (meV/atom) = 311
- energy (eV per atom) = -8.550

---

[5]
# Na3HgPb12

Na3HgPb12 after structural relaxation (GGA-PBE, the Alexandria database).

a = 4.8335 Å, b = 4.8335 Å, c = 20.3826 Å
α = 90.00°, β = 90.00°, γ = 90.00°
Last column: nearest neighbours and their distance in Å.
Fractional coordinates of all 16 atoms:
Na 0.0000 0.0000 0.0000  12 Pb 3.42-3.50
Na 0.0000 0.0000 0.2477  12 Pb 3.42-3.52
Na 0.0000 0.0000 0.7523  12 Pb 3.42-3.52
Hg 0.0000 0.0000 0.5000  12 Pb 3.42-3.54
Pb 0.0000 0.5000 0.1244  8 Pb 3.42-3.51, 4 Na 3.49-3.50
Pb 0.0000 0.5000 0.3731  8 Pb 3.42-3.54, 2 Na 3.52, 2 Hg 3.54
Pb 0.0000 0.5000 0.6269  8 Pb 3.42-3.54, 2 Na 3.52, 2 Hg 3.54
Pb 0.0000 0.5000 0.8756  8 Pb 3.42-3.51, 4 Na 3.49-3.50
Pb 0.5000 0.0000 0.1244  8 Pb 3.42-3.51, 4 Na 3.49-3.50
Pb 0.5000 0.0000 0.3731  8 Pb 3.42-3.54, 2 Na 3.52, 2 Hg 3.54
Pb 0.5000 0.0000 0.6269  8 Pb 3.42-3.54, 2 Na 3.52, 2 Hg 3.54
Pb 0.5000 0.0000 0.8756  8 Pb 3.42-3.51, 4 Na 3.49-3.50
Pb 0.5000 0.5000 0.0000  4 Na 3.42, 8 Pb 3.50
Pb 0.5000 0.5000 0.2492  4 Na 3.42, 8 Pb 3.50-3.51
Pb 0.5000 0.5000 0.5000  4 Hg 3.42, 8 Pb 3.54
Pb 0.5000 0.5000 0.7508  4 Na 3.42, 8 Pb 3.50-3.51

## Properties
- D(E_F) (states/eV per cell) = 7.39
- V (Å³/atom) = 29.76
- M_tot (Bohr magnetons per cell) = 0.0
- energy relative to the elements (meV per atom) = -76.2
- energy (eV per atom) = -3.124

---

[6]
# Sm3Ho2Zn2

Sm3Ho2Zn2 after structural relaxation (GGA-PBE, the Alexandria database).

a = 3.6000 Å, b = 3.5639 Å, c = 15.4564 Å
α = 90.00°, β = 96.67°, γ = 90.00°
Last column: nearest neighbours and their distance in Å.
Fractional coordinates of all 7 atoms:
Sm 0.0000 0.0000 0.0000  8 Zn 3.13
Sm 0.1210 0.0000 0.2405  4 Zn 3.14
Sm 0.8790 0.0000 0.7595  4 Zn 3.14
Ho 0.2976 0.5000 0.5964  6 Ho 3.46-3.60, 4 Sm 3.56
Ho 0.7024 0.5000 0.4036  6 Ho 3.46-3.60, 4 Sm 3.56
Zn 0.4398 0.5000 0.8805  8 Sm 3.13-3.14
Zn 0.5602 0.5000 0.1195  8 Sm 3.13-3.14

## Properties
- D(E_F) (states/eV per cell) = 8.84
- V (Å³/atom) = 28.14
- M_tot (Bohr magnetons per cell) = 0.0
- energy relative to the elements (meV per atom) = -96.7
- energy above the lowest structure with this stoichiometry (meV/atom) = 38
- energy (eV per atom) = -3.791

---

> The highest D(E_F) belongs to which entry?

Sm3Ho2Zn2